(1)
Material: ZnSnAsP
Method: DFT, PBE
State: optimized geometry

Structure (extended XYZ):
```
8
Lattice="-4.482 -1.392 3.431 3.692 -1.272 4.306 0.114 6.838 -2.000" Properties=species:S:1:pos:R:3 pbc="T T T"
P 0.811 3.844 2.398
P -1.468 0.392 3.159
As 2.788 0.394 3.795
As -3.481 3.720 2.118
Zn 2.495 -1.640 5.210
Zn -3.436 1.692 3.569
Sn -1.466 -1.661 4.679
Sn 0.547 1.786 3.888
```

E: -4.02 eV/atom
calculated volume: 24.59 A^3/atom
mass density: 4.90 g/cm3


(2)
Material: Sr2TmAsP
Method: DFT, PBE
State: optimized geometry

Structure (extended XYZ):
```
10
Lattice="6.656 0.763 5.610 -8.569 -0.272 -1.690 0.053 -8.150 1.047" Properties=species:S:1:pos:R:3 pbc="T T T"
P -3.618 -8.019 1.696
P 1.783 -3.575 3.776
As 5.860 -3.975 5.815
As -7.739 -0.824 -1.216
Sr -1.806 -2.000 1.827
Sr -0.053 -5.957 3.178
Sr -4.094 -5.030 1.090
Sr 2.220 -0.524 3.606
Tm 5.263 -6.754 5.872
Tm -7.106 -3.519 -0.570
```

size of the total moment: 1.8 μB/cell
E: -4.62 eV/atom
calculated volume: 30.51 A^3/atom
mass density: 4.90 g/cm3